No. 1
A plane-wave DFT calculation with PBE was carried out for a relaxed Ho3Ga2Rh6 crystal.

Geometry as POSCAR:
```
Ho3Ga2Rh6
1.0
-5.879 4.360 -3.391
3.254 -4.889 -5.530
-3.056 -4.411 6.023
Rh Ho Ga
12 6 4
Direct
0.313 0.656 0.656 Rh
0.000 0.656 0.344 Rh
0.656 0.000 0.344 Rh
0.344 0.687 0.344 Rh
0.656 0.313 0.656 Rh
0.344 0.344 0.687 Rh
0.344 0.000 0.656 Rh
0.656 0.656 0.313 Rh
0.000 0.344 0.656 Rh
0.344 0.656 0.000 Rh
0.656 0.344 0.000 Rh
0.687 0.344 0.344 Rh
0.708 0.708 0.000 Ho
0.708 0.000 0.708 Ho
0.292 0.000 0.292 Ho
0.292 0.292 0.000 Ho
0.000 0.292 0.292 Ho
0.000 0.708 0.708 Ho
0.500 0.500 0.500 Ga
0.000 0.500 0.000 Ga
0.500 0.000 0.000 Ga
0.000 0.000 0.500 Ga
```

Values from the calculation:
As for the space-group type: No. 229.

***

No. 2
A plane-wave DFT calculation with PBE was carried out for a relaxed Ho3GaRh4 crystal.

Geometry as POSCAR:
```
Ho3GaRh4
1.0
4.645 0.000 0.000
0.000 6.759 0.000
0.000 0.000 9.289
Rh Ho Ga
8 6 2
Direct
0.000 0.740 0.250 Rh
0.500 0.740 0.500 Rh
0.000 0.740 0.750 Rh
0.500 0.740 0.000 Rh
0.000 0.260 0.750 Rh
0.500 0.260 0.500 Rh
0.000 0.260 0.250 Rh
0.500 0.260 0.000 Rh
0.500 0.000 0.750 Ho
0.500 0.000 0.250 Ho
0.500 0.500 0.250 Ho
0.000 0.000 0.500 Ho
0.000 0.000 0.000 Ho
0.500 0.500 0.750 Ho
0.000 0.500 0.500 Ga
0.000 0.500 0.000 Ga
```

Values from the calculation:
As for the space-group type: No. 123.

***

No. 3
A plane-wave DFT calculation with PBE was carried out for a relaxed HoGa3Rh4 crystal.

Geometry as POSCAR:
```
HoGa3Rh4
1.0
-2.619 3.548 -0.001
-1.274 1.801 3.819
4.565 6.111 1.187
Rh Ho Ga
4 1 3
Direct
0.130 0.130 0.610 Rh
0.870 0.870 0.390 Rh
0.386 0.386 0.843 Rh
0.614 0.614 0.157 Rh
0.000 0.000 0.000 Ho
0.500 0.500 0.500 Ga
0.250 0.250 0.251 Ga
0.750 0.750 0.749 Ga
```

Values from the calculation:
As for the space-group type: No. 166.

***

No. 4
A plane-wave DFT calculation with PBE was carried out for a relaxed HoGa2Rh2 crystal.

Geometry as POSCAR:
```
HoGa2Rh2
1.0
-2.351 0.103 3.513
-2.180 -3.358 -1.361
5.530 -1.413 1.197
Rh Ga Ho
2 2 1
Direct
0.250 0.750 0.500 Rh
0.750 0.250 0.500 Rh
0.624 0.624 0.249 Ga
0.376 0.376 0.751 Ga
0.000 0.000 0.000 Ho
```

Values from the calculation:
As for the space-group type: No. 139.

***

No. 5
A plane-wave DFT calculation with PBE was carried out for a relaxed Ho4GaRh crystal.

Geometry as POSCAR:
```
Ho4GaRh
1.0
6.044 -0.070 0.000
-1.634 7.739 0.000
-2.205 -3.834 6.612
Ho Rh Ga
8 2 2
Direct
0.970 0.775 0.133 Ho
0.030 0.225 0.867 Ho
0.213 0.303 0.361 Ho
0.351 0.941 0.639 Ho
0.337 0.642 0.867 Ho
0.663 0.358 0.133 Ho
0.787 0.697 0.639 Ho
0.649 0.059 0.361 Ho
0.750 0.000 0.000 Rh
0.250 0.000 0.000 Rh
0.381 0.631 0.262 Ga
0.619 0.369 0.738 Ga
```

Values from the calculation:
As for the energy above the most stable polymorph in this dataset: 53 meV per atom. As for the space-group type: No. 15.

***

No. 6
A plane-wave DFT calculation with PBE was carried out for a relaxed Ho3Ga3Rh crystal.

Geometry as POSCAR:
```
Ho3Ga3Rh
1.0
4.127 0.000 0.622
2.027 5.386 0.552
0.041 0.171 13.736
Rh Ho Ga
2 6 6
Direct
0.760 0.091 0.388 Rh
0.240 0.909 0.612 Rh
0.527 0.328 0.618 Ho
0.263 0.237 0.236 Ho
0.610 0.704 0.076 Ho
0.473 0.672 0.382 Ho
0.390 0.296 0.924 Ho
0.737 0.763 0.764 Ho
0.976 0.818 0.230 Ga
0.108 0.860 0.925 Ga
0.024 0.182 0.770 Ga
0.892 0.140 0.075 Ga
0.860 0.744 0.537 Ga
0.140 0.256 0.463 Ga
```

Values from the calculation:
As for the space-group type: No. 12.

***

For reference, E_form by record: -0.7273 -0.8300 -0.7790 -0.7985 -0.5203 -0.7283 eV per atom.
For reference, DOS(E_F) by record: 0.785 0.407 0.204 0.417 0.885 0.721 states/eV per atom.